CeSmCdTc (PBE-GGA, relaxed); crystal system = cubic; spin magnetization = 0.0 μB per formula unit; V = 95.5 Å³/f.u.; energy relative to the elements = 0.15 kcal/mol of atoms
1.0
0.000 3.628 3.628
3.628 0.000 3.628
3.628 3.628 0.000
Ce Sm Cd Tc
1 1 1 1
Direct
0.000 0.000 0.000
0.500 0.500 0.500
0.750 0.750 0.750
0.250 0.250 0.250